Density functional theory data (GGA+U) for crystalline NiSN2O at its relaxed geometry.

Geometry as CIF:
```
data_NiSN2O
_chemical_formula_sum 'Ni1 S1 N2 O1'
_symmetry_space_group_name_H-M 'P 1'
_symmetry_Int_Tables_number 1
_cell_length_a 3.480
_cell_length_b 3.480
_cell_length_c 5.111
_cell_angle_alpha 90.00
_cell_angle_beta 90.00
_cell_angle_gamma 90.00
loop_
_symmetry_equiv_pos_as_xyz
'x,y,z'
loop_
_atom_site_label
_atom_site_type_symbol
_atom_site_fract_x
_atom_site_fract_y
_atom_site_fract_z
_atom_site_occupancy
Ni1 Ni 0.000 0.000 0.000 1
S1 S 0.000 0.000 0.500 1
O1 O 0.500 0.500 0.500 1
N1 N 0.000 0.500 0.000 1
N2 N 0.500 0.000 0.000 1
```

Computed properties:
* density of states at the Fermi level: 0.70 states/eV/atom
* total DFT energy (no corrections): -3.7395 eV per atom